#P
Density functional theory data (GGA-PBE) for a relaxed La3Be crystal.

a b c (Å): 7.1985 7.1985 5.0503
angles (deg): 90.00 90.00 120.00
With the nearest neighbours (Å) after each atom.
Space group P6_3/mmc (No. 194)
Asymmetric unit:
La 0.1839 0.3679 0.2500  2 Be 3.14, 6 La 3.23-3.41
Be 0.3333 0.6667 0.7500  6 La 3.14

#Q
Density functional theory data (GGA-PBE) for a relaxed La3Be crystal.

a b c (Å): 5.6084 5.6084 3.7187
angles (deg): 90.00 90.00 90.00
With the nearest neighbours (Å) after each atom.
Space group P4/mmm (No. 123)
Asymmetric unit:
La 0.0000 0.0000 0.0000  10 La 3.36-3.72
La 0.0000 0.5000 0.5000  6 La 3.36-3.72, 4 Be 3.36
Be 0.5000 0.5000 0.0000  8 La 3.36, 2 Be 3.72

Least stable structure: #Q

#P
Density functional theory data (GGA-PBE) for a relaxed La3Be crystal.

a b c (Å): 8.2017 9.1968 6.3656
angles (deg): 90.00 90.00 90.00
With the nearest neighbours (Å) after each atom.
Space group Pnma (No. 62)
Asymmetric unit:
La 0.0430 0.2500 0.1085  2 Be 2.99-3.26
La 0.1633 0.0531 0.6419  3 Be 2.99-3.13
Be 0.1216 0.7500 0.4259  8 La 2.99-3.26

#Q
Density functional theory data (GGA-PBE) for a relaxed La3Be crystal.

a b c (Å): 3.7232 3.7232 31.2172
angles (deg): 90.00 90.00 120.00
With the nearest neighbours (Å) after each atom.
Space group R-3m (No. 166, hexagonal axes)
Asymmetric unit:
La 0.0000 0.0000 0.0000  12 La 3.72-3.80
La 0.0000 0.0000 0.2331  3 Be 2.99
Be 0.0000 0.0000 0.5000  6 La 2.99

Least stable structure: #Q